4
Lattice="-1.5450 3.3085 -3.3151 -3.5156 -1.2119 -3.2396 -4.5039 1.9700 0.3966" Properties=species:S:1:pos:R:3 comment="CaErIrAu (PBE-GGA, optimized geometry)" formation_energy_ev_per_atom=-0.672 crystal_system=cubic pbc="T T T"
Er -2.3911 1.0167 -1.5395
Ir -4.7822 2.0333 -3.0790
Ca -7.1734 3.0500 -4.6185
Au 0.0000 0.0000 0.0000

8
Lattice="5.2410 0.0048 2.7303 1.8972 4.8767 2.7453 0.1784 0.1047 6.0530" Properties=species:S:1:pos:R:3 comment="ScBiF6 (PBE-GGA, optimized geometry)" raw_formation_energy_ev_per_atom=-3.203 crystal_system=trigonal pbc="T T T"
F 3.2049 3.8123 7.5690
F 2.8646 4.1132 4.3686
F 4.1117 1.1740 3.9595
F 1.5708 1.5864 5.9141
F 4.4520 0.8731 7.1600
F 5.7458 3.3999 5.6144
Sc 0.0000 0.0000 0.0000
Bi 3.6583 2.4931 5.7643

10
Lattice="3.8527 0.0000 0.0000 0.0000 3.8527 0.0000 0.0000 0.0000 9.6593" Properties=species:S:1:pos:R:3 comment="Sc2Si4Ni3Ir (PBE-GGA, optimized geometry)" raw_formation_energy_ev_per_atom=-0.845 crystal_system=tetragonal pbc="T T T"
Sc 0.0000 1.9264 7.3364
Sc 1.9264 0.0000 2.3229
Si 0.0000 1.9264 3.4473
Si 1.9264 0.0000 6.2121
Si 0.0000 0.0000 0.0000
Si 1.9264 1.9264 0.0000
Ir 1.9264 1.9264 4.8297
Ni 0.0000 1.9264 1.2289
Ni 0.0000 0.0000 4.8297
Ni 1.9264 0.0000 8.4304

4
Lattice="-2.3911 -1.4794 -1.2065 1.8942 -1.5992 -1.7933 0.6246 -5.6741 5.7197" Properties=species:S:1:pos:R:3 comment="MgTlPt2 (PBE-GGA, optimized geometry)" formation_energy_ev_per_atom=-0.175 crystal_system=tetragonal pbc="T T T"
Tl 0.2976 -2.7033 2.7250
Mg 0.2514 -6.0804 3.0776
Pt 0.6218 -5.6490 5.6944
Pt -0.1062 -2.8313 -0.1975

10
Lattice="6.0265 0.0000 0.0000 0.0000 5.0341 -0.4425 0.0000 -2.0689 8.5997" Properties=species:S:1:pos:R:3 comment="LaTlAuS2 (PBE-GGA, optimized geometry)" raw_formation_energy_ev_per_atom=-0.915 crystal_system=monoclinic pbc="T T T"
S 4.1439 0.4192 4.5325
S 4.1439 1.5115 7.9246
S 1.8826 1.4537 0.2326
S 1.8826 2.5459 3.6248
Au 0.0000 -1.0345 4.2999
Au 0.0000 0.0000 0.0000
La 2.7994 -0.5172 2.1499
La 3.2271 -1.5517 6.4498
Tl 5.1296 1.9998 1.9287
Tl 0.8969 0.9653 6.2286

13
Lattice="-4.2323 2.3247 -3.7413 -6.7208 -3.9357 0.0835 -4.5017 5.3485 3.4290" Properties=species:S:1:pos:R:3 comment="LaTlCd11 (PBE-GGA, optimized geometry)" formation_energy_ev_per_atom=-0.091 crystal_system=monoclinic pbc="T T T"
Cd -6.7460 2.0651 -1.1904
Cd -8.7088 1.6723 0.9617
Cd -11.9230 2.7736 0.0584
Cd -3.5318 0.9639 -0.2872
Cd -3.3604 -1.9678 0.0418
Cd -5.3015 2.0814 2.1723
Cd -7.0162 4.5272 0.8819
Cd -2.2508 2.6742 1.7145
Cd -4.3670 3.8366 -0.1561
Cd -8.4386 -0.7898 -1.1107
Cd -10.1533 1.6561 -2.4010
Tl -5.4765 -0.8055 -1.8289
La 0.0000 0.0000 0.0000

Computed Fermi-level density of states (states/eV per cell) in order:
3.113, 0.000, 4.070, 3.238, 3.071, 4.426
Computed total magnetization (μB per atom) in order:
0.00, 0.00, 0.00, 0.00, 0.00, 0.00